{"formula": "TlHgOs", "functional": "GGA-PBE", "state": "relaxed", "e_above_lowest_polymorph_ev_per_atom": 0.001, "m_tot_mub_per_cell": 0.58, "delta_e_f_ev_per_atom": 0.96, "lattice_angstrom": [[0.0000, 2.5346, 8.9436], [1.4654, 0.0000, 8.9436], [1.4654, 2.5346, 0.0000]], "species": ["Tl", "Hg", "Os"], "frac_coords": [[0.0000, 0.0000, 0.0000], [0.7093, 0.7093, 0.2907], [0.3530, 0.3530, 0.6470]]}